1.
Below is a relaxed structure of SrPr4S6, with properties calculated at the GGA-PBE level.

a b c (Å): 4.092 7.101 20.889
angles (deg): 90.00 90.00 106.74
Positions (direct):
Sr 0.657 0.315 0.250
Sr 0.343 0.685 0.750
Pr 0.863 0.726 0.542
Pr 0.406 0.811 0.131
Pr 0.137 0.274 0.458
Pr 0.594 0.189 0.869
Pr 0.863 0.726 0.958
Pr 0.137 0.274 0.042
Pr 0.594 0.189 0.631
Pr 0.406 0.811 0.369
S 0.500 0.000 0.000
S 0.500 0.000 0.500
S 0.044 0.088 0.336
S 0.956 0.912 0.664
S 0.956 0.912 0.836
S 0.044 0.088 0.164
S 0.771 0.542 0.413
S 0.229 0.458 0.587
S 0.229 0.458 0.913
S 0.771 0.542 0.087
S 0.313 0.625 0.250
S 0.687 0.375 0.750

Results
**Total magnetization**: 0.0 μB per cell
**Symmetry**: Cmcm (63)
**Crystal system**: orthorhombic
**Uncorrected formation energy**: -2.039 eV per atom

2.
Below is a relaxed structure of Ho6Cu2Bi, with properties calculated at the GGA-PBE level.

a b c (Å): 8.561 8.561 8.561
angles (deg): 103.52 110.46 114.62
Positions (direct):
Ho 0.519 0.707 0.811
Ho 0.481 0.293 0.189
Ho 0.104 0.293 0.811
Ho 0.896 0.707 0.189
Ho 0.796 0.770 0.566
Ho 0.204 0.230 0.434
Ho 0.204 0.770 0.974
Ho 0.796 0.230 0.026
Ho 0.689 0.370 0.680
Ho 0.311 0.630 0.320
Ho 0.311 0.991 0.680
Ho 0.689 0.009 0.320
Cu 0.500 0.382 0.882
Cu 0.500 0.618 0.118
Cu 0.644 0.000 0.644
Cu 0.356 0.000 0.356
Bi 0.000 0.500 0.500
Bi 0.000 0.000 0.000

Results
**Total magnetization**: 0.0 μB per cell
**Symmetry**: Immm (71)
**Crystal system**: orthorhombic
**Calculated formation energy**: -270 meV/atom

3.
Below is a relaxed structure of BSN2F, with properties calculated at the GGA-PBE level.

a b c (Å): 3.503 3.503 6.835
angles (deg): 90.00 90.00 90.00
Site moments in Bohr magnetons follow the coordinates.
Positions (direct):
S 0.000 0.000 0.500  0.03
N 0.000 0.500 0.000  1.27
N 0.500 0.000 0.000  1.27
B 0.500 0.500 0.500  0.00
F 0.000 0.000 0.000  0.07

Results
**Total magnetization**: 3.7 μB per cell
**Excess energy over the best structure of this formula in the dataset**: 8.964 eV per formula unit
**Symmetry**: P4/mmm (123)
**Crystal system**: tetragonal
**Uncorrected formation energy**: 2.786 eV per atom

4.
Below is a relaxed structure of Na8In3Pb, with properties calculated at the GGA-PBE level.

a b c (Å): 8.098 8.293 8.679
angles (deg): 57.65 91.39 120.06
Positions (direct):
Na 0.251 0.000 0.605
Na 0.389 0.553 0.415
Na 0.837 0.447 0.968
Na 0.478 0.000 0.936
Na 0.853 0.000 0.744
Na 0.817 0.490 0.354
Na 0.327 0.510 0.844
Na 0.241 0.000 0.249
In 0.775 0.703 0.572
In 0.072 0.297 0.275
In 0.602 0.000 0.415
Pb 0.858 0.000 0.123

Results
**Total magnetization**: 0.0 μB per cell
**Symmetry**: Cm (8)
**Crystal system**: monoclinic
**Calculated formation energy**: -69 meV/atom

5.
Below is a relaxed structure of Y3PuHg12, with properties calculated at the GGA-PBE level.

a b c (Å): 4.578 4.579 18.956
angles (deg): 90.00 90.00 90.00
Site moments in Bohr magnetons follow the coordinates.
Positions (direct):
Y 0.000 0.000 0.252  0.06
Y 0.000 0.000 0.500  0.01
Y 0.000 0.000 0.748  0.06
Pu 0.000 0.000 0.000  5.53
Hg 0.500 0.500 0.000  0.05
Hg 0.500 0.500 0.253  0.01
Hg 0.500 0.500 0.500  0.00
Hg 0.500 0.500 0.747  0.01
Hg 0.500 0.000 0.128  0.02
Hg 0.500 0.000 0.376  0.00
Hg 0.500 0.000 0.624  0.00
Hg 0.500 0.000 0.872  0.02
Hg 0.000 0.500 0.128  0.02
Hg 0.000 0.500 0.376  0.00
Hg 0.000 0.500 0.624  0.00
Hg 0.000 0.500 0.872  0.02

Results
**Total magnetization**: 6.4 μB per cell
**Symmetry**: P4/mmm (123)
**Crystal system**: tetragonal
**Calculated formation energy**: -265 meV/atom

6.
Below is a relaxed structure of Nd3Pa, with properties calculated at the GGA-PBE level.

a b c (Å): 3.469 5.873 6.285
angles (deg): 90.00 90.00 90.00
Site moments in Bohr magnetons follow the coordinates.
Positions (direct):
Pa 0.000 0.000 0.011  0.38
Nd 0.500 0.000 0.523  0.00
Nd 0.500 0.500 0.828  0.00
Nd 0.000 0.500 0.305  0.00

Results
**Total magnetization**: 0.5 μB per cell
**Excess energy over the best structure of this formula in the dataset**: 0.032 eV per formula unit
**Symmetry**: Pmm2 (25)
**Crystal system**: orthorhombic
**Calculated formation energy**: 258 meV/atom

Look up the total magnetization of the third one. 3.7 μB per cell

What is the total magnetization in the second record? 0.0 μB per cell